No. 1
A plane-wave DFT calculation with PBE was carried out for a relaxed structure of Ba2OsW.

Unit cell a=5.444 b=5.444 c=5.444 alpha=60.00 beta=60.00 gamma=60.00
Atoms (fractional coordinates):
Ba (0.250, 0.250, 0.250)
Ba (0.750, 0.750, 0.750)
Os (0.000, 0.000, 0.000)
W (0.500, 0.500, 0.500)

ΔE_f ... 1.800 eV/atom
Magnetic moment ... 3.91 μB per formula unit
ΔE to the lowest computed polymorph ... 1.3969 eV/atom
Volume ... 28.53 Å³/atom
SG ... Fm-3m (225)


No. 2
A plane-wave DFT calculation with PBE was carried out for a relaxed structure of Fe2PtRhC.

Unit cell a=3.929 b=3.929 c=3.988 alpha=90.00 beta=90.00 gamma=90.00
Atoms (fractional coordinates):
Fe (0.000, 0.500, 0.000)
Fe (0.500, 0.000, 0.000)
Pt (0.000, 0.000, 0.500)
Rh (0.500, 0.500, 0.500)
C (0.500, 0.500, 0.000)

ΔE_f ... 0.089 eV/atom
Magnetic moment ... 5.82 μB per formula unit
Volume ... 12.31 Å³/atom
SG ... P4/mmm (123)


Which of these has the lowest ΔE_f? Fe2PtRhC


Number 2 is which compound? Fe2PtRhC


Which formula does entry 1 have? Ba2OsW


Which value of ΔE_f does entry 1 give? 1.800 eV/atom